Record 1
Entry from Alexandria: a geometry-optimized Na5Ca2Fe3P6O24 structure (PBE+U).

```
data_Na5Ca2Fe3P6O24
_chemical_formula_sum 'Na5 Ca2 Fe3 P6 O24'
_cell_length_a 6.5472
_cell_length_b 8.8270
_cell_length_c 9.0950
_cell_angle_alpha 91.07
_cell_angle_beta 107.56
_cell_angle_gamma 106.65
_symmetry_space_group_name_H-M 'P 1'
_symmetry_Int_Tables_number 1
_symmetry_space_group_name_Hall 'P 1'
loop_
_atom_site_label
_atom_site_fract_x
_atom_site_fract_y
_atom_site_fract_z
Na1 0.0000 0.0000 0.0000
Na2 0.0492 0.7068 0.2908
Na3 0.2732 0.4655 0.5070
Na4 0.5097 0.9500 0.0347
Na5 0.7981 0.4853 0.5027
Ca1 0.5256 0.2505 0.7507
Ca2 0.5778 0.8685 0.6318
Fe1 0.1112 0.5806 0.9456
Fe2 0.4044 0.3481 0.0828
Fe3 0.9069 0.0284 0.4071
P1 0.0136 0.2453 0.7413
P2 0.1372 0.8380 0.6838
P3 0.4091 0.1190 0.3683
P4 0.5186 0.6862 0.2732
P5 0.6304 0.6232 0.8913
P6 0.8995 0.3105 0.1618
O1 0.0510 0.2232 0.5816
O2 0.0820 0.3686 0.0757
O3 0.1082 0.7767 0.8399
O4 0.1560 0.7064 0.5804
O5 0.1906 0.9971 0.3814
O6 0.2264 0.2277 0.8679
O7 0.3176 0.7145 0.1429
O8 0.3554 0.9810 0.7310
O9 0.3628 0.1537 0.1943
O10 0.4281 0.5431 0.9536
O11 0.4656 0.6897 0.4246
O12 0.4775 0.2701 0.4809
O13 0.5523 0.5200 0.2517
O14 0.5789 0.5322 0.7317
O15 0.5965 0.0356 0.4103
O16 0.6526 0.8010 0.8859
O17 0.6631 0.2920 0.0368
O18 0.7375 0.8160 0.2722
O19 0.8048 0.1243 0.7611
O20 0.8533 0.6066 0.0055
O21 0.8892 0.1375 0.2039
O22 0.9316 0.8951 0.5976
O23 0.9513 0.4252 0.3034
O24 0.9830 0.4142 0.7589
```

## Properties
- VASP energy (eV per atom) = -6.748
- total magnetic moment (μB/cell) = 14.78

=====

Record 2
Entry from Alexandria: a geometry-optimized NaCaPrFeO6 structure (PBE+U).

```
data_NaCaPrFeO6
_chemical_formula_sum 'Na4 Ca4 Pr4 Fe4 O24'
_cell_length_a 8.0331
_cell_length_b 8.0331
_cell_length_c 8.0331
_cell_angle_alpha 90.00
_cell_angle_beta 90.00
_cell_angle_gamma 90.00
_symmetry_space_group_name_H-M 'F -4 3 m'
_symmetry_Int_Tables_number 216
_symmetry_space_group_name_Hall 'F -4 2 3'
loop_
_atom_site_label
_atom_site_fract_x
_atom_site_fract_y
_atom_site_fract_z
Na1 0.0000 0.0000 0.0000
Ca1 0.2500 0.2500 0.7500
Pr1 0.0000 0.0000 0.5000
Fe1 0.2500 0.2500 0.2500
O1 0.0212 0.2500 0.2500
```

## Properties
- VASP energy (eV per atom) = -6.121
- total magnetic moment (μB/cell) = 16.12